# 1
{"formula": "Hg2P2H4O9", "functional": "SCAN", "state": "single point on PBEsol structure", "lattice_angstrom": [[-4.251, -5.396, -0.007], [-1.002, -2.021, 7.053], [-7.232, 3.153, 0.702]], "species": ["H", "H", "H", "H", "H", "H", "H", "H", "Hg", "Hg", "Hg", "Hg", "O", "O", "O", "O", "O", "O", "O", "O", "O", "O", "O", "O", "O", "O", "O", "O", "O", "O", "P", "P", "P", "P"], "frac_coords": [[0.182, 0.282, 0.010], [0.818, 0.718, 0.990], [0.199, 0.103, 0.142], [0.801, 0.897, 0.858], [0.570, 0.032, 0.254], [0.430, 0.968, 0.746], [0.794, 0.952, 0.124], [0.206, 0.048, 0.876], [0.198, 0.224, 0.527], [0.802, 0.776, 0.473], [0.751, 0.350, 0.242], [0.249, 0.650, 0.758], [0.009, 0.441, 0.726], [0.991, 0.559, 0.274], [0.127, 0.170, 0.047], [0.873, 0.830, 0.953], [0.154, 0.771, 0.515], [0.846, 0.229, 0.485], [0.273, 0.478, 0.995], [0.727, 0.522, 0.005], [0.274, 0.730, 0.189], [0.726, 0.270, 0.811], [0.316, 0.007, 0.310], [0.684, 0.993, 0.690], [0.367, 0.381, 0.285], [0.633, 0.619, 0.715], [0.452, 0.320, 0.631], [0.548, 0.680, 0.369], [0.723, 0.020, 0.240], [0.277, 0.980, 0.760], [0.225, 0.529, 0.187], [0.775, 0.471, 0.813], [0.330, 0.795, 0.356], [0.670, 0.205, 0.644]], "n_ef_per_ev_atom": 0.000, "spacegroup": "No. 2", "total_magnetization_mub_per_cell": 0.00, "dft_energy_ev_per_atom": -14.83}

***

# 2
{"formula": "TaSiNi2", "functional": "SCAN", "state": "single point on PBEsol structure", "lattice_angstrom": [[2.834, 0.000, 0.000], [0.000, 2.965, 0.000], [0.000, 0.000, 5.913]], "species": ["Ni", "Ni", "Si", "Ta"], "frac_coords": [[0.000, 0.000, 0.026], [0.500, 0.500, 0.265], [0.000, 0.000, 0.450], [0.500, 0.500, 0.758]], "n_ef_per_ev_atom": 0.750, "spacegroup": "No. 25", "formation_energy_uncorrected_ev_per_atom": -0.301, "total_magnetization_mub_per_cell": 0.00}

***

# 3
{"formula": "Li8NbS6", "functional": "SCAN", "state": "single point on PBEsol structure", "lattice_angstrom": [[-4.831, 3.207, 3.683], [-1.415, -5.995, -3.041], [4.016, -6.485, 10.915]], "species": ["Li", "Li", "Li", "Li", "Li", "Li", "Li", "Li", "Li", "Li", "Li", "Li", "Li", "Li", "Li", "Li", "Nb", "Nb", "S", "S", "S", "S", "S", "S", "S", "S", "S", "S", "S", "S"], "frac_coords": [[0.322, 0.000, 0.734], [0.377, 0.000, 0.369], [0.623, 0.000, 0.869], [0.678, 0.000, 0.234], [0.333, 0.667, 0.101], [0.333, 0.667, 0.601], [0.678, 0.678, 0.734], [0.623, 0.623, 0.369], [0.377, 0.377, 0.869], [0.000, 0.678, 0.234], [0.322, 0.322, 0.234], [0.000, 0.623, 0.869], [0.667, 0.333, 0.601], [0.667, 0.333, 0.101], [0.000, 0.377, 0.369], [0.000, 0.322, 0.734], [0.000, 0.000, 0.502], [0.000, 0.000, 0.002], [0.325, 0.000, 0.550], [0.675, 0.000, 0.050], [0.333, 0.667, 0.284], [0.000, 0.000, 0.324], [0.000, 0.000, 0.824], [0.333, 0.667, 0.784], [0.675, 0.675, 0.550], [0.000, 0.675, 0.050], [0.325, 0.325, 0.050], [0.667, 0.333, 0.784], [0.667, 0.333, 0.284], [0.000, 0.325, 0.550]], "n_ef_per_ev_atom": 0.411, "spacegroup": "No. 185", "formation_energy_uncorrected_ev_per_atom": -1.366, "total_magnetization_mub_per_cell": 2.00, "relative_energy_ev_per_fu": 0.22}

***

# 4
{"formula": "CuPt2W", "functional": "SCAN", "state": "single point on PBEsol structure", "lattice_angstrom": [[-2.614, -0.515, 0.672], [-0.297, -2.398, -2.990], [1.608, -4.088, 3.119]], "species": ["W", "Pt", "Pt", "Cu"], "frac_coords": [[0.500, 0.500, 0.000], [0.000, 0.000, 0.749], [0.000, 0.000, 0.251], [0.500, 0.500, 0.500]], "e_form_mev_per_atom": -244, "n_ef_per_ev_atom": 0.615, "spacegroup": "No. 47", "total_magnetization_mub_per_cell": 0.00, "relative_energy_ev_per_fu": 0.27}

***

# 5
{"formula": "Cs2Nb6PbCl18", "functional": "SCAN", "state": "single point on PBEsol structure", "lattice_angstrom": [[-8.945, 0.047, -3.134], [-6.546, -5.363, 4.270], [-7.021, 4.793, 5.777]], "species": ["Cs", "Cs", "Nb", "Nb", "Nb", "Nb", "Nb", "Nb", "Pb", "Cl", "Cl", "Cl", "Cl", "Cl", "Cl", "Cl", "Cl", "Cl", "Cl", "Cl", "Cl", "Cl", "Cl", "Cl", "Cl", "Cl", "Cl"], "frac_coords": [[0.276, 0.276, 0.171], [0.724, 0.724, 0.829], [0.297, 0.419, 0.636], [0.419, 0.647, 0.636], [0.647, 0.297, 0.636], [0.581, 0.353, 0.364], [0.703, 0.581, 0.364], [0.353, 0.703, 0.364], [0.000, 0.000, 0.000], [0.771, 0.090, 0.498], [0.434, 0.165, 0.822], [0.359, 0.229, 0.502], [0.229, 0.910, 0.502], [0.037, 0.324, 0.810], [0.641, 0.771, 0.498], [0.422, 0.566, 0.178], [0.910, 0.359, 0.502], [0.835, 0.422, 0.178], [0.172, 0.963, 0.190], [0.578, 0.434, 0.822], [0.090, 0.641, 0.498], [0.828, 0.037, 0.810], [0.566, 0.835, 0.178], [0.676, 0.172, 0.190], [0.165, 0.578, 0.822], [0.324, 0.828, 0.810], [0.963, 0.676, 0.190]], "spacegroup": "No. 148", "formation_energy_uncorrected_ev_per_atom": -1.569, "total_magnetization_mub_per_cell": 0.00}

***

# 6
{"formula": "Re2SeBr", "functional": "SCAN", "state": "single point on PBEsol structure", "lattice_angstrom": [[2.969, 0.000, 0.000], [0.000, 3.024, 0.000], [-1.485, -1.512, 8.478]], "species": ["Br", "Re", "Re", "Se"], "frac_coords": [[0.281, 0.781, 0.562], [0.061, 0.061, 0.122], [0.683, 0.183, 0.366], [0.475, 0.475, 0.950]], "n_ef_per_ev_atom": 0.630, "spacegroup": "No. 44", "formation_energy_uncorrected_ev_per_atom": 0.662, "total_magnetization_mub_per_cell": 0.00, "relative_energy_ev_per_fu": 0.00}

***

# 7
{"formula": "TcPbCl2", "functional": "SCAN", "state": "single point on PBEsol structure", "lattice_angstrom": [[-0.309, 2.757, -1.997], [-3.028, 1.557, -0.308], [0.736, 6.304, 5.661]], "species": ["Pb", "Tc", "Cl", "Cl"], "frac_coords": [[0.506, 0.506, 0.482], [0.261, 0.261, 0.218], [0.977, 0.977, 0.070], [0.757, 0.757, 0.730]], "n_ef_per_ev_atom": 0.708, "spacegroup": "No. 160", "formation_energy_uncorrected_ev_per_atom": -0.014, "total_magnetization_mub_per_cell": 0.00, "relative_energy_ev_per_fu": 0.96}

***

# 8
{"formula": "LiTe2Se2", "functional": "SCAN", "state": "single point on PBEsol structure", "lattice_angstrom": [[-0.764, 3.277, -2.359], [3.386, -3.541, -6.016], [-6.830, -3.063, -2.041]], "species": ["Te", "Te", "Te", "Te", "Se", "Se", "Se", "Se", "Li", "Li"], "frac_coords": [[0.000, 0.336, 0.836], [0.000, 0.836, 0.664], [0.000, 0.664, 0.164], [0.000, 0.164, 0.336], [0.500, 0.165, 0.665], [0.500, 0.665, 0.835], [0.500, 0.835, 0.335], [0.500, 0.335, 0.165], [0.000, 0.000, 0.000], [0.000, 0.500, 0.500]], "n_ef_per_ev_atom": 0.467, "spacegroup": "No. 127", "formation_energy_uncorrected_ev_per_atom": -0.119, "total_magnetization_mub_per_cell": 0.00}

***

# 9
{"formula": "TaCl", "functional": "SCAN", "state": "single point on PBEsol structure", "lattice_angstrom": [[-0.980, 2.861, 0.452], [-2.980, 0.339, 0.597], [1.108, -0.358, 9.012]], "species": ["Cl", "Cl", "Ta", "Ta"], "frac_coords": [[0.156, 0.156, 0.682], [0.844, 0.844, 0.318], [0.789, 0.789, 0.874], [0.211, 0.211, 0.126]], "n_ef_per_ev_atom": 0.478, "spacegroup": "No. 12", "formation_energy_uncorrected_ev_per_atom": -0.797, "total_magnetization_mub_per_cell": 0.00}

***

# 10
{"formula": "AlTeMo", "functional": "SCAN", "state": "single point on PBEsol structure", "lattice_angstrom": [[4.442, 0.000, 0.000], [2.221, 3.847, 0.000], [2.221, 1.282, 3.627]], "species": ["Mo", "Te", "Al"], "frac_coords": [[0.250, 0.250, 0.250], [0.000, 0.000, 0.000], [0.500, 0.500, 0.500]], "n_ef_per_ev_atom": 0.893, "spacegroup": "No. 216", "formation_energy_uncorrected_ev_per_atom": 0.447, "total_magnetization_mub_per_cell": 1.55}

***

What did the sixth record say?
{"formula": "Re2SeBr", "functional": "SCAN", "state": "single point on PBEsol structure", "lattice_angstrom": [[2.969, 0.000, 0.000], [0.000, 3.024, 0.000], [-1.485, -1.512, 8.478]], "species": ["Br", "Re", "Re", "Se"], "frac_coords": [[0.281, 0.781, 0.562], [0.061, 0.061, 0.122], [0.683, 0.183, 0.366], [0.475, 0.475, 0.950]], "n_ef_per_ev_atom": 0.630, "spacegroup": "No. 44", "formation_energy_uncorrected_ev_per_atom": 0.662, "total_magnetization_mub_per_cell": 0.00, "relative_energy_ev_per_fu": 0.00}

***

Copy entry 9 word for word.
{"formula": "TaCl", "functional": "SCAN", "state": "single point on PBEsol structure", "lattice_angstrom": [[-0.980, 2.861, 0.452], [-2.980, 0.339, 0.597], [1.108, -0.358, 9.012]], "species": ["Cl", "Cl", "Ta", "Ta"], "frac_coords": [[0.156, 0.156, 0.682], [0.844, 0.844, 0.318], [0.789, 0.789, 0.874], [0.211, 0.211, 0.126]], "n_ef_per_ev_atom": 0.478, "spacegroup": "No. 12", "formation_energy_uncorrected_ev_per_atom": -0.797, "total_magnetization_mub_per_cell": 0.00}